## Zn2GaAg2 (GGA-PBEsol)

Data for Zn2GaAg2 after structural relaxation.

The structure in POSCAR format:
```
Zn2GaAg2
1.0
-1.7558 1.7558 6.7793
1.7558 -1.7558 6.7793
1.7558 1.7558 -6.7793
Zn Ga Ag
2 1 2
direct
0.2500 0.7500 0.5000
0.7500 0.2500 0.5000
0.0000 0.0000 0.0000
0.3990 0.3990 0.0000
0.6010 0.6010 0.0000
```

Values from the calculation:
Its crystal system is tetragonal. The energy relative to the elements comes out at 0.38 eV per formula unit. The total DFT energy (no corrections) comes out at -2.5489 eV/atom. The space-group type is No. 139. As for the theoretical density: 8.27 g cm⁻³.